The following is a DFT calculation (PBE-GGA) of an optimized crystal structure of NaSr2ZnF.

Total DFT energy (no corrections) in eV/atom: -2.661
V in Å³/atom: 27.1

Cell lengths 5.4403, 5.4403, 4.5829 Å; angles 90.00, 90.00, 90.00 degrees
Closest atoms and distances in Å follow each position.
Positions (direct):
Sr 0.0000 0.5000 0.0000  2 F 2.72
Sr 0.5000 0.0000 0.0000  2 F 2.72
Zn 0.5000 0.5000 0.5000  8 Sr 3.56, 4 Na 3.85
F 0.0000 0.0000 0.0000  2 Na 2.29
Na 0.0000 0.0000 0.5000  2 F 2.29